{"formula": "ZnRhSe", "functional": "PBEsol", "state": "relaxed", "polymorph_energy_mev_per_atom": 298.9, "formation_energy_uncorrected_ev_per_atom": 0.21, "lattice": [[0.000, 2.938, 2.938], [2.938, 0.000, 2.938], [2.938, 2.938, 0.000]], "species": ["Zn", "Rh", "Se"], "frac_coords": [[0.000, 0.000, 0.000], [0.750, 0.750, 0.750], [0.250, 0.250, 0.250]]}